Entry 1:
Compound: PaNiN
Source: the Alexandria database
Functional: PBE
Structure: optimized geometry

The size of the total moment comes out at 0.00 μB/cell. As for the formation energy without anion corrections: -0.545 eV/atom. The calculation puts the energy above the most stable polymorph in this dataset at 0.000 eV/atom.

a b c (Å): 4.6930 4.8056 8.8529
angles (deg): 90.00 90.00 90.00
With the nearest neighbours (Å) after each atom.
Space group Ama2 (No. 40)
One atom of each set of equivalent atoms:
Pa1 0.2500 0.2462 0.0000 [4 per cell]  4 N 2.34-2.47, 1 Ni 2.54
Ni1 0.2500 0.1113 0.2774 [4 per cell]  1 N 1.99
N1 0.2500 0.2605 0.4866 [4 per cell]  1 Ni 1.99

***

Entry 2:
Compound: SnRhBr2
Source: the Alexandria database
Functional: PBE
Structure: optimized geometry

The size of the total moment comes out at 0.00 μB/cell. As for the formation energy without anion corrections: -0.134 eV/atom. The calculation puts the energy above the most stable polymorph in this dataset at 0.000 eV/atom.

a b c (Å): 9.5982 9.5982 5.1620
angles (deg): 90.00 90.00 90.00
With the nearest neighbours (Å) after each atom.
Space group I-42d (No. 122)
One atom of each set of equivalent atoms:
Sn1 0.0000 0.0000 0.0000 [4 per cell]  2 Rh 2.58
Rh1 0.0000 0.0000 0.5000 [4 per cell]  2 Sn 2.58, 4 Br 2.64
Br1 0.0933 0.2500 0.6250 [8 per cell]  2 Rh 2.64

***

Entry 3:
Compound: TbSc2In3
Source: the Alexandria database
Functional: PBE
Structure: optimized geometry

The size of the total moment comes out at 0.00 μB/cell. The calculation puts the energy above the most stable polymorph in this dataset at 0.000 eV/atom. The value obtained for the formation energy is -0.43 eV per atom.

a b c (Å): 3.5980 3.5980 11.0909
angles (deg): 90.00 90.00 90.00
With the nearest neighbours (Å) after each atom.
Space group P4/mmm (No. 123)
One atom of each set of equivalent atoms:
Tb1 0.0000 0.0000 0.0000 [1 per cell]  8 In 3.26, 4 Tb 3.60
Sc1 0.0000 0.0000 0.3421 [2 per cell]  8 In 3.09
In1 0.5000 0.5000 0.1839 [2 per cell]  4 Sc 3.09, 4 Tb 3.26
In2 0.5000 0.5000 0.5000 [1 per cell]  8 Sc 3.09

***

Entry 4:
Compound: Mg2BP3H6O14
Source: the Alexandria database
Functional: PBE
Structure: optimized geometry

The size of the total moment comes out at 0.00 μB/cell.

a b c (Å): 7.1732 8.7592 16.5132
angles (deg): 90.00 90.00 90.00
With the nearest neighbours (Å) after each atom.
Space group P2_12_12_1 (No. 19)
One atom of each set of equivalent atoms:
Mg1 0.1780 0.2013 0.2923 [4 per cell]  6 O 2.08-2.15
Mg2 0.1807 0.8324 0.3057 [4 per cell]  6 O 2.09-2.21
B1 0.1557 0.5793 0.9178 [4 per cell]  4 O 1.45-1.50
P1 0.0149 0.0085 0.1385 [4 per cell]  4 O 1.53-1.59
P2 0.0490 0.4922 0.7660 [4 per cell]  4 O 1.53-1.59
P3 0.1371 0.5303 0.0840 [4 per cell]  4 O 1.52-1.58
H1 0.0813 0.8001 0.9148 [4 per cell]  1 O 0.98
H2 0.1936 0.3312 0.6656 [4 per cell]  1 O 1.05
H3 0.1988 0.0042 0.5938 [4 per cell]  1 O 1.00
H4 0.1990 0.1073 0.9646 [4 per cell]  1 O 0.98
H5 0.2049 0.6490 0.6367 [4 per cell]  1 O 1.02
H6 0.2429 0.2800 0.9543 [4 per cell]  1 O 0.98
O1 0.0151 0.5126 0.8608 [4 per cell]  1 B 1.50, 1 P 1.59
O2 0.0217 0.0278 0.3549 [4 per cell]  1 P 1.52
O3 0.0258 0.1597 0.1852 [4 per cell]  1 P 1.53
O4 0.0291 0.8683 0.1935 [4 per cell]  1 P 1.53
O5 0.0651 0.5566 0.9971 [4 per cell]  1 B 1.48, 1 P 1.54
O6 0.1473 0.9850 0.7727 [4 per cell]  1 P 1.55
O7 0.1532 0.3397 0.7531 [4 per cell]  1 H 1.48, 1 P 1.54
O8 0.1609 0.6293 0.7347 [4 per cell]  1 P 1.53, 1 H 1.66
O9 0.1664 0.5067 0.4140 [4 per cell]  1 B 1.48, 1 P 1.56
O10 0.1721 0.0046 0.0708 [4 per cell]  1 H 1.00
O11 0.1914 0.7395 0.9010 [4 per cell]  1 H 0.98
O12 0.2158 0.3420 0.6030 [4 per cell]  1 H 1.05
O13 0.2167 0.1870 0.9236 [4 per cell]  2 H 0.98
O14 0.2415 0.3717 0.0809 [4 per cell]  1 H 1.02

***

Entry 5:
Compound: K2Sn3Se8
Source: the Alexandria database
Functional: PBE
Structure: optimized geometry

The size of the total moment comes out at 2.73 μB/cell. As for the formation energy without anion corrections: -0.446 eV/atom.

a b c (Å): 17.0860 7.5872 7.0506
angles (deg): 90.00 108.20 90.00
With the nearest neighbours (Å) after each atom.
Space group C2/m (No. 12)
One atom of each set of equivalent atoms:
K1 0.2356 0.0000 0.1942 [4 per cell]  6 Se 3.30-3.45
Sn1 0.0000 0.2473 0.5000 [4 per cell]  6 Se 2.66-2.77
Sn2 0.0000 0.5000 0.0000 [2 per cell]  6 Se 2.70-2.77
Se1 0.0964 0.5000 0.3964 [4 per cell]  3 Sn 2.77
Se2 0.1005 0.0000 0.4423 [4 per cell]  2 Sn 2.66
Se3 0.1011 0.2790 0.8872 [8 per cell]  2 Sn 2.70-2.75

***

Entry 6:
Compound: ZrCoHRu2
Source: the Alexandria database
Functional: PBE
Structure: optimized geometry

The size of the total moment comes out at 0.55 μB/cell.

a b c (Å): 3.9851 3.9851 3.8379
angles (deg): 90.00 90.00 90.00
With the nearest neighbours (Å) after each atom.
Space group P4/mmm (No. 123)
One atom of each set of equivalent atoms:
Zr1 0.0000 0.0000 0.0000 [1 per cell]  8 Ru 2.77, 4 Co 2.82
Co1 0.5000 0.5000 0.0000 [1 per cell]  2 H 1.92
H1 0.5000 0.5000 0.5000 [1 per cell]  2 Co 1.92, 4 Ru 1.99
Ru1 0.0000 0.5000 0.5000 [2 per cell]  2 H 1.99

***

Entry 7:
Compound: Li8InHg2
Source: the Alexandria database
Functional: PBE
Structure: optimized geometry

The size of the total moment comes out at 0.00 μB/cell. The calculation puts the energy above the most stable polymorph in this dataset at 0.000 eV/atom. The value obtained for the formation energy is -0.26 eV per atom.

a b c (Å): 4.5629 7.3533 12.2089
angles (deg): 90.00 90.00 90.00
With the nearest neighbours (Å) after each atom.
Space group Immm (No. 71)
One atom of each set of equivalent atoms:
Li1 0.0000 0.0000 0.1449 [4 per cell]  8 Li 2.84-3.16, 2 In 2.89, 2 Hg 2.91
Li2 0.0000 0.2022 0.3518 [8 per cell]  3 Hg 2.81-2.82, 1 In 2.84, 4 Li 2.91-2.97
Li3 0.0000 0.3023 0.0000 [4 per cell]  7 Li 2.84-2.91, 2 Hg 2.92
In1 0.0000 0.5000 0.5000 [2 per cell]  8 Li 2.84-2.89
Hg1 0.0000 0.5000 0.2070 [4 per cell]  10 Li 2.81-2.92

***

Entry 8:
Compound: Tb8ZnGe3Te4
Source: the Alexandria database
Functional: PBE
Structure: optimized geometry

The size of the total moment comes out at 0.00 μB/cell. As for the formation energy without anion corrections: -1.075 eV/atom.

a b c (Å): 8.4835 8.4835 21.4399
angles (deg): 90.00 90.00 120.00
With the nearest neighbours (Å) after each atom.
Space group R-3m (No. 166, hexagonal axes)
One atom of each set of equivalent atoms:
Tb1 0.0000 0.0000 0.2396 [6 per cell]  3 Ge 2.91, 3 Te 3.17
Tb2 0.0075 0.5037 0.7573 [18 per cell]  2 Ge 2.92, 1 Zn 2.99, 3 Te 3.08-3.15
Zn1 0.0000 0.0000 0.5000 [3 per cell]  6 Tb 2.99
Ge1 0.0000 0.5000 0.5000 [9 per cell]  6 Tb 2.91-2.92
Te1 0.0000 0.0000 0.0000 [3 per cell]  6 Tb 3.08
Te2 0.0000 0.5000 0.0000 [9 per cell]  6 Tb 3.15-3.17

***

Entry 9:
Compound: CsTlPdAu2
Source: the Alexandria database
Functional: PBE
Structure: optimized geometry

The size of the total moment comes out at 0.00 μB/cell. The value obtained for the formation energy is -0.08 eV per atom.

a b c (Å): 5.4295 5.4295 5.2124
angles (deg): 90.00 90.00 90.00
With the nearest neighbours (Å) after each atom.
Space group P4/mmm (No. 123)
One atom of each set of equivalent atoms:
Cs1 0.0000 0.0000 0.0000 [1 per cell]  8 Au 3.76, 4 Tl 3.84
Tl1 0.5000 0.5000 0.0000 [1 per cell]  2 Pd 2.61
Pd1 0.5000 0.5000 0.5000 [1 per cell]  2 Tl 2.61, 4 Au 2.71
Au1 0.0000 0.5000 0.5000 [2 per cell]  2 Pd 2.71

***

Entry 10:
Compound: Tl2PW
Source: the Alexandria database
Functional: PBE
Structure: optimized geometry

The size of the total moment comes out at 0.00 μB/cell. The calculation puts the energy above the most stable polymorph in this dataset at 0.797 eV/atom. The value obtained for the formation energy is 1.01 eV per atom.

a b c (Å): 6.3966 8.5470 2.9613
angles (deg): 90.00 90.00 90.00
With the nearest neighbours (Å) after each atom.
Space group Cmmm (No. 65)
One atom of each set of equivalent atoms:
Tl1 0.2500 0.2500 0.0000 [4 per cell]  4 Tl 2.96-3.20, 4 P 3.05, 4 W 3.05
P1 0.0000 0.0000 0.5000 [2 per cell]  2 P 2.96, 8 Tl 3.05, 2 W 3.20
W1 0.0000 0.5000 0.5000 [2 per cell]  2 W 2.96, 8 Tl 3.05, 2 P 3.20

***

Entry 11:
Compound: Tl2ZnIn
Source: the Alexandria database
Functional: PBE
Structure: optimized geometry

The size of the total moment comes out at 0.00 μB/cell. The value obtained for the formation energy is 0.11 eV per atom.

a b c (Å): 3.5911 3.5911 28.7372
angles (deg): 90.00 90.00 120.00
With the nearest neighbours (Å) after each atom.
Space group R-3m (No. 166, hexagonal axes)
One atom of each set of equivalent atoms:
Tl1 0.0000 0.0000 0.2418 [6 per cell]  3 Zn 2.99, 3 In 3.35
Zn1 0.0000 0.0000 0.5000 [3 per cell]  6 Tl 2.99
In1 0.0000 0.0000 0.0000 [3 per cell]  6 Tl 3.35, 6 In 3.59

***

Entry 12:
Compound: TaCd2Os
Source: the Alexandria database
Functional: PBE
Structure: optimized geometry

The size of the total moment comes out at 0.00 μB/cell. The calculation puts the energy above the most stable polymorph in this dataset at 0.206 eV/atom. The value obtained for the formation energy is 0.32 eV per atom.

a b c (Å): 9.3815 3.0977 5.2330
angles (deg): 90.00 102.59 90.00
With the nearest neighbours (Å) after each atom.
Space group Cm (No. 8)
One atom of each set of equivalent atoms:
Ta1 0.0000 0.0000 0.0000 [2 per cell]  2 Os 2.56
Cd1 0.2330 0.0000 0.6868 [2 per cell]  3 Cd 2.73-2.91, 2 Os 2.92, 1 Ta 3.00
Cd2 0.4721 0.0000 0.4678 [2 per cell]  3 Cd 2.73-2.91, 2 Ta 2.96, 2 Os 3.01
Os1 0.2190 0.5000 0.1532 [2 per cell]  2 Ta 2.56

***

What are the N(E_F) values for these records? In order: 0.84 0.13 0.58 0.00 0.42 1.34 0.37 0.49 0.29 0.70 0.39 0.30 states/eV per atom.
What are the VASP energy values for these records? In order: -100.95 -60.94 -28.11 -668.00 -95.74 -38.51 -42.92 -245.80 -15.38 -38.09 -24.92 -47.26 eV per cell.